DFT (GGA+U) results for Rb2LiMoF6 after structural relaxation.

Cell lengths 6.0344, 6.0344, 8.5058 Å; angles 90.00, 90.00, 90.00 degrees
With the nearest neighbours (Å) after each atom.
Space group I4/mmm (No. 139)
Unique sites:
Rb  0.0000  0.5000  0.2500  12 F 3.01-3.02
Li  0.0000  0.0000  0.0000  6 F 2.14-2.16
Mo  0.0000  0.0000  0.5000  6 F 2.11
F  0.0000  0.0000  0.2522  1 Mo 2.11, 1 Li 2.14
F  0.2473  0.2473  0.5000  1 Mo 2.11, 1 Li 2.16

M_tot: 6.00 μB/cell
E: -5.01 eV/atom